# BaTl2As2

A relaxed structure of BaTl2As2 (PBE, Alexandria via LeMat-Bulk).

* calculated formation energy: -0.33 eV/atom

Structure (CIF):
```
data_BaTl2As2
_symmetry_space_group_name_H-M 'P 4/m b m'
_symmetry_Int_Tables_number 127
_symmetry_space_group_name_Hall '-P 4 2ab'
_cell_length_a 8.335
_cell_length_b 8.335
_cell_length_c 4.603
_cell_angle_alpha 90.00
_cell_angle_beta 90.00
_cell_angle_gamma 90.00
loop_
_atom_site_label
_atom_site_type_symbol
_atom_site_fract_x
_atom_site_fract_y
_atom_site_fract_z
_atom_site_occupancy
Ba1 Ba 0.000 0.000 0.000 1
Tl1 Tl 0.156 0.344 0.500 1
As1 As 0.104 0.604 0.000 1
```


# K2MnTe

A relaxed structure of K2MnTe (PBE, Alexandria via LeMat-Bulk).

* uncorrected formation energy: -0.098 eV per atom

Structure (CIF):
```
data_K2MnTe
_symmetry_space_group_name_H-M 'C 1 m 1'
_symmetry_Int_Tables_number 8
_symmetry_space_group_name_Hall 'C -2y'
_cell_length_a 13.720
_cell_length_b 4.332
_cell_length_c 5.657
_cell_angle_alpha 90.00
_cell_angle_beta 114.31
_cell_angle_gamma 90.00
loop_
_atom_site_label
_atom_site_type_symbol
_atom_site_fract_x
_atom_site_fract_y
_atom_site_fract_z
_atom_site_occupancy
K1 K 0.000 0.000 0.000 1
K2 K 0.205 0.000 0.705 1
Mn1 Mn 0.407 0.000 0.407 1
Te1 Te 0.267 0.500 0.266 1
```